Record 1
A plane-wave DFT calculation with GGA-PBE was carried out for a relaxed HoPaAsO crystal.

Cell and atoms, written as POSCAR:
```
HoPaAsO
1.0
4.2016 0.0000 0.0000
0.0000 4.2016 0.0000
0.0000 0.0000 9.1302
Ho Pa As O
2 2 2 2
Direct
0.2500 0.7500 0.0000 Ho
0.7500 0.2500 0.0000 Ho
0.2500 0.2500 0.3650 Pa
0.7500 0.7500 0.6350 Pa
0.2500 0.2500 0.7787 As
0.7500 0.7500 0.2213 As
0.2500 0.7500 0.5000 O
0.7500 0.2500 0.5000 O
```

The volume comes out at 20.1 A^3/atom. For the total moment, the calculation gives 1.03 μB/f.u. The electronic total energy is -7.245 eV per atom.

Record 2
A plane-wave DFT calculation with GGA-PBE was carried out for a relaxed YBe2Pd crystal.

Cell and atoms, written as POSCAR:
```
YBe2Pd
1.0
6.3193 0.0000 0.0000
0.0000 6.3193 0.0000
0.0000 0.0000 6.3193
Y Be Pd
4 8 4
Direct
0.0000 0.0000 0.0000 Y
0.0000 0.5000 0.5000 Y
0.5000 0.0000 0.5000 Y
0.5000 0.5000 0.0000 Y
0.0000 0.0000 0.5000 Be
0.0000 0.5000 0.0000 Be
0.2500 0.2500 0.2500 Be
0.2500 0.7500 0.7500 Be
0.5000 0.0000 0.0000 Be
0.5000 0.5000 0.5000 Be
0.7500 0.2500 0.7500 Be
0.7500 0.7500 0.2500 Be
0.2500 0.2500 0.7500 Pd
0.2500 0.7500 0.2500 Pd
0.7500 0.2500 0.2500 Pd
0.7500 0.7500 0.7500 Pd
```

The volume comes out at 15.8 A^3/atom. For the total moment, the calculation gives 0.00 μB/f.u. The electronic total energy is -4.822 eV per atom.

Record 3
A plane-wave DFT calculation with GGA-PBE was carried out for a relaxed CuGePtAu crystal.

Cell and atoms, written as POSCAR:
```
CuGePtAu
1.0
6.3341 0.0000 0.0000
0.0000 6.3341 0.0000
0.0000 0.0000 6.3341
Cu Ge Pt Au
4 4 4 4
Direct
0.0000 0.0000 0.0000 Cu
0.0000 0.5000 0.5000 Cu
0.5000 0.0000 0.5000 Cu
0.5000 0.5000 0.0000 Cu
0.2500 0.2500 0.7500 Ge
0.2500 0.7500 0.2500 Ge
0.7500 0.2500 0.2500 Ge
0.7500 0.7500 0.7500 Ge
0.0000 0.0000 0.5000 Pt
0.0000 0.5000 0.0000 Pt
0.5000 0.0000 0.0000 Pt
0.5000 0.5000 0.5000 Pt
0.2500 0.2500 0.2500 Au
0.2500 0.7500 0.7500 Au
0.7500 0.2500 0.7500 Au
0.7500 0.7500 0.2500 Au
```

The volume comes out at 15.9 A^3/atom. For the total moment, the calculation gives 0.00 μB/f.u. The electronic total energy is -4.438 eV per atom.

Record 4
A plane-wave DFT calculation with GGA-PBE was carried out for a relaxed UCdFe crystal.

Cell and atoms, written as POSCAR:
```
UCdFe
1.0
6.4736 0.0000 0.0000
0.0000 6.4736 0.0000
0.0000 0.0000 6.4736
U Cd Fe
4 4 4
Direct
0.0000 0.0000 0.0000 U
0.0000 0.5000 0.5000 U
0.5000 0.0000 0.5000 U
0.5000 0.5000 0.0000 U
0.2500 0.2500 0.2500 Cd
0.2500 0.7500 0.7500 Cd
0.7500 0.2500 0.7500 Cd
0.7500 0.7500 0.2500 Cd
0.2500 0.2500 0.7500 Fe
0.2500 0.7500 0.2500 Fe
0.7500 0.2500 0.2500 Fe
0.7500 0.7500 0.7500 Fe
```

The volume comes out at 22.6 A^3/atom. For the formation energy, the calculation gives 1432.5 meV per atom. For the total moment, the calculation gives 2.08 μB/f.u.

Record 5
A plane-wave DFT calculation with GGA-PBE was carried out for a relaxed CuH2Pd2 crystal.

Cell and atoms, written as POSCAR:
```
CuH2Pd2
1.0
3.0301 0.0000 0.0000
0.0000 3.0301 0.0000
0.0000 0.0000 10.6508
Cu H Pd
2 4 4
Direct
0.0000 0.0000 0.0000 Cu
0.5000 0.5000 0.5000 Cu
0.0000 0.5000 0.2500 H
0.0000 0.5000 0.7500 H
0.5000 0.0000 0.2500 H
0.5000 0.0000 0.7500 H
0.0000 0.0000 0.3533 Pd
0.0000 0.0000 0.6467 Pd
0.5000 0.5000 0.1467 Pd
0.5000 0.5000 0.8533 Pd
```

The volume comes out at 9.8 A^3/atom. The electronic total energy is -4.236 eV per atom.

Record 6
A plane-wave DFT calculation with GGA-PBE was carried out for a relaxed PrGdGa2Br2 crystal.

Cell and atoms, written as POSCAR:
```
PrGdGa2Br2
1.0
4.2088 0.0000 0.0000
-2.1044 3.6449 0.0000
0.0000 0.0000 11.4860
Pr Gd Ga Br
1 1 2 2
Direct
0.0000 0.0000 0.0000 Pr
0.0000 0.0000 0.3668 Gd
0.3333 0.6667 0.2152 Ga
0.6667 0.3333 0.1598 Ga
0.3333 0.6667 0.8388 Br
0.6667 0.3333 0.5187 Br
```

The volume comes out at 29.4 A^3/atom. For the total moment, the calculation gives 0.00 μB/f.u. The electronic total energy is -4.389 eV per atom.

Record 7
A plane-wave DFT calculation with GGA-PBE was carried out for a relaxed CoNiBAu crystal.

Cell and atoms, written as POSCAR:
```
CoNiBAu
1.0
5.7315 0.0000 0.0000
0.0000 5.7315 0.0000
0.0000 0.0000 5.7315
Co Ni B Au
4 4 4 4
Direct
0.0000 0.0000 0.0000 Co
0.0000 0.5000 0.5000 Co
0.5000 0.0000 0.5000 Co
0.5000 0.5000 0.0000 Co
0.0000 0.0000 0.5000 Ni
0.0000 0.5000 0.0000 Ni
0.5000 0.0000 0.0000 Ni
0.5000 0.5000 0.5000 Ni
0.2500 0.2500 0.2500 B
0.2500 0.7500 0.7500 B
0.7500 0.2500 0.7500 B
0.7500 0.7500 0.2500 B
0.2500 0.2500 0.7500 Au
0.2500 0.7500 0.2500 Au
0.7500 0.2500 0.2500 Au
0.7500 0.7500 0.7500 Au
```

The volume comes out at 11.8 A^3/atom. For the total moment, the calculation gives 0.78 μB/f.u. The electronic total energy is -5.022 eV per atom.

Record 8
A plane-wave DFT calculation with GGA-PBE was carried out for a relaxed Hf2GaB2 crystal.

Cell and atoms, written as POSCAR:
```
Hf2GaB2
1.0
3.1514 0.0000 0.0000
0.0000 11.9185 0.0000
0.0000 0.0000 3.5242
Hf Ga B
4 2 4
Direct
0.0000 0.1399 0.0000 Hf
0.0000 0.8601 0.0000 Hf
0.5000 0.3601 0.0000 Hf
0.5000 0.6399 0.0000 Hf
0.0000 0.5000 0.5000 Ga
0.5000 0.0000 0.5000 Ga
0.0000 0.2845 0.5000 B
0.0000 0.7155 0.5000 B
0.5000 0.2155 0.5000 B
0.5000 0.7845 0.5000 B
```

The volume comes out at 13.2 A^3/atom. For the total moment, the calculation gives 0.00 μB/f.u. The electronic total energy is -7.955 eV per atom.